1.
Here is an optimized crystal structure of LiDyYAg from the Alexandria database. Energies are from PBE.

Cell: 5.1685 5.1685 5.1685 Å, 60.00 60.00 60.00°
Positions (direct):
Li 0.5000 0.5000 0.5000
Dy 0.2500 0.2500 0.2500
Ag 0.0000 0.0000 0.0000
Y 0.7500 0.7500 0.7500

Properties
- ΔE to the lowest computed polymorph (meV/atom) = 11
- ΔE_f (eV per atom) = -0.1040

---

2.
Here is an optimized crystal structure of DyLu2Ag from the Alexandria database. Energies are from PBE.

Cell: 4.7516 4.6960 4.6960 Å, 90.00 90.00 90.00°
Positions (direct):
Lu 0.0000 0.0000 0.5000
Lu 0.0000 0.5000 0.0000
Dy 0.5000 0.5000 0.5000
Ag 0.5000 0.0000 0.0000

Properties
- ΔE to the lowest computed polymorph (meV/atom) = 150
- ΔE_f (eV per atom) = 0.0123

---

3.
Here is an optimized crystal structure of DyLu2Ag from the Alexandria database. Energies are from PBE.

Cell: 3.4993 3.4993 8.7396 Å, 90.00 90.00 90.00°
Positions (direct):
Lu 0.0000 0.0000 0.2134
Lu 0.0000 0.0000 0.7866
Dy 0.5000 0.5000 0.5000
Ag 0.5000 0.5000 0.0000

Properties
- ΔE to the lowest computed polymorph (meV/atom) = 0
- ΔE_f (eV per atom) = -0.1380

---

4.
Here is an optimized crystal structure of DyLuAg from the Alexandria database. Energies are from PBE.

Cell: 3.5494 3.5494 6.6926 Å, 105.38 105.38 90.00°
Each line ends with the local moment (μB).
Positions (direct):
Ag 0.6619 0.6619 0.3238  0.01
Dy 0.3185 0.3185 0.6370  0.34
Lu 0.0196 0.0196 0.0392  0.25

Properties
- ΔE to the lowest computed polymorph (meV/atom) = 0
- ΔE_f (eV per atom) = -0.1796